First-principles (GGA-PBE) data for an optimized crystal structure of SrSnPCl2, as listed in the Alexandria database.

abc: 5.3402 5.3402 5.1580
angles: 90.00 90.00 90.00
Fractional positions:
P1 0.0000 0.0000 0.5000
Cl1 0.5000 0.0000 0.0000
Cl2 0.0000 0.5000 0.0000
Sr1 0.5000 0.5000 0.5000
Sn1 0.0000 0.0000 0.0000

Computed properties:
N(E_F): 0.046 states/eV/atom
ΔE_f (raw): -77.6 kJ per mole of atoms
energy above the lowest structure with this stoichiometry: 0 meV per atom

First-principles (GGA-PBE) data for an optimized crystal structure of SrSnPCl2, as listed in the Alexandria database.

abc: 5.3487 5.3487 6.1405
angles: 90.00 90.00 90.00
Fractional positions:
Sr1 0.0000 0.0000 0.0000
P1 0.0000 0.0000 0.5000
Cl1 0.5000 0.0000 0.0000
Cl2 0.0000 0.5000 0.0000
Sn1 0.5000 0.5000 0.5000

Computed properties:
N(E_F): 0.367 states/eV/atom
ΔE_f (raw): -49.4 kJ per mole of atoms
energy above the lowest structure with this stoichiometry: 292 meV per atom

First-principles (GGA-PBE) data for an optimized crystal structure of TaSn2PCl, as listed in the Alexandria database.

abc: 5.4085 4.4713 5.4085
angles: 90.00 90.00 90.00
Fractional positions:
P1 0.5000 0.5000 0.5000
Sn1 0.0000 0.0000 0.5000
Sn2 0.5000 0.0000 0.0000
Ta1 0.0000 0.5000 0.0000
Cl1 0.0000 0.0000 0.0000

Computed properties:
N(E_F): 0.851 states/eV/atom
ΔE_f (raw): 111.8 kJ per mole of atoms

First-principles (GGA-PBE) data for an optimized crystal structure of TcSnPCl2, as listed in the Alexandria database.

abc: 5.1240 5.1240 5.2692
angles: 90.00 90.00 90.00
Fractional positions:
Sn1 0.0000 0.0000 0.0000
Cl1 0.0000 0.5000 0.0000
Cl2 0.5000 0.0000 0.0000
P1 0.0000 0.0000 0.5000
Tc1 0.5000 0.5000 0.5000

Computed properties:
N(E_F): 0.373 states/eV/atom
ΔE_f (raw): 76.0 kJ per mole of atoms
energy above the lowest structure with this stoichiometry: 668 meV per atom